Entry 1:
Density functional theory data (PBE-GGA) for crystalline SrLi4Ni at its relaxed geometry.

The structure in extended XYZ format:
```
6
Lattice="0.000 3.935 3.935 3.935 0.000 3.935 3.935 3.935 0.000" Properties=species:S:1:pos:R:3 pbc="T T T"
Sr 0.000 0.000 0.000
Li 4.891 2.979 2.979
Li 2.979 4.891 2.979
Li 2.979 2.979 4.891
Li 4.891 4.891 4.891
Ni 1.968 1.968 1.968
```

Properties
Formation enthalpy at 0 K: 114.1 kJ/mol of formula units
Electronic total energy: -2.323 eV per atom
V: 121.88 Å³/f.u.



Entry 2:
Density functional theory data (PBE-GGA) for crystalline SrLi2Ni9 at its relaxed geometry.

The structure in extended XYZ format:
```
24
Lattice="8.171 0.000 0.000 0.000 8.171 0.000 0.000 0.000 4.796" Properties=species:S:1:pos:R:3 pbc="T T T"
Sr 0.000 0.000 0.000
Sr 4.085 4.085 0.000
Li 0.932 3.153 0.000
Li 3.153 7.239 0.000
Li 5.018 0.932 0.000
Li 7.239 5.018 0.000
Ni 0.000 4.085 2.398
Ni 0.531 1.755 2.398
Ni 1.460 5.545 1.182
Ni 1.460 5.545 3.615
Ni 1.755 7.640 2.398
Ni 2.330 3.554 2.398
Ni 2.626 1.460 1.182
Ni 2.626 1.460 3.615
Ni 3.554 5.840 2.398
Ni 4.085 0.000 2.398
Ni 4.617 2.330 2.398
Ni 5.545 6.711 1.182
Ni 5.545 6.711 3.615
Ni 5.840 4.617 2.398
Ni 6.416 0.531 2.398
Ni 6.711 2.626 1.182
Ni 6.711 2.626 3.615
Ni 7.640 6.416 2.398
```

Properties
Formation enthalpy at 0 K: -24.5 kJ/mol of formula units
Electronic total energy: -4.816 eV per atom
V: 160.11 Å³/f.u.



Entry 3:
Density functional theory data (PBE-GGA) for crystalline Sr6LiNi2 at its relaxed geometry.

The structure in extended XYZ format:
```
18
Lattice="-5.343 5.502 5.644 5.343 -5.502 5.644 5.343 5.502 -5.644" Properties=species:S:1:pos:R:3 pbc="T T T"
Sr 5.343 3.199 -3.218
Sr 3.243 1.981 0.000
Sr 7.444 1.981 0.000
Sr 2.024 5.502 -2.014
Sr 3.320 0.000 3.630
Sr 0.000 2.303 2.426
Sr 5.343 3.199 3.218
Sr 2.024 5.502 2.014
Sr 3.320 0.000 7.658
Sr -2.100 3.521 5.644
Sr 2.100 3.521 5.644
Sr 0.000 2.303 8.862
Li 0.000 0.000 0.000
Li 0.000 0.000 5.644
Ni 5.343 0.000 1.182
Ni 0.000 4.317 0.000
Ni 0.000 6.688 0.000
Ni 0.000 5.502 4.462
```

Properties
Formation enthalpy at 0 K: -3.7 kJ/mol of formula units
Electronic total energy: -2.623 eV per atom
V: 331.88 Å³/f.u.



Entry 4:
Density functional theory data (PBE-GGA) for crystalline SrLi2Ni at its relaxed geometry.

The structure in extended XYZ format:
```
4
Lattice="0.000 3.459 3.459 3.459 0.000 3.459 3.459 3.459 0.000" Properties=species:S:1:pos:R:3 pbc="T T T"
Sr 0.000 0.000 0.000
Li 1.730 1.730 1.730
Li 5.189 5.189 5.189
Ni 3.459 3.459 3.459
```

Properties
Formation enthalpy at 0 K: 88.1 kJ/mol of formula units
E above lowest polymorph: 160 meV per atom
Electronic total energy: -2.595 eV per atom
V: 82.78 Å³/f.u.



Entry 5:
Density functional theory data (PBE-GGA) for crystalline SrLi2Ni at its relaxed geometry.

The structure in extended XYZ format:
```
4
Lattice="2.187 1.262 5.411 -2.187 1.262 5.411 0.000 -2.525 5.411" Properties=species:S:1:pos:R:3 pbc="T T T"
Sr 0.000 0.000 0.000
Li 0.000 0.000 3.207
Li 0.000 0.000 13.026
Ni 0.000 0.000 8.116
```

Properties
Formation enthalpy at 0 K: 50.3 kJ/mol of formula units
E above lowest polymorph: 62 meV per atom
Electronic total energy: -2.692 eV per atom
V: 89.61 Å³/f.u.



Entry 6:
Density functional theory data (PBE-GGA) for crystalline Sr2LiNi at its relaxed geometry.

The structure in extended XYZ format:
```
4
Lattice="4.463 0.000 0.000 0.000 2.265 5.905 0.000 -2.265 5.905" Properties=species:S:1:pos:R:3 pbc="T T T"
Sr 0.000 0.000 0.000
Sr 2.232 0.000 3.335
Li 0.000 0.000 8.126
Ni 2.232 0.000 6.836
```

Properties
Formation enthalpy at 0 K: 22.9 kJ/mol of formula units
Electronic total energy: -2.705 eV per atom
V: 119.36 Å³/f.u.



Question: V of number 6 (Sr2LiNi)?
Answer: 119.36 Å³/f.u.



Question: formation enthalpy at 0 K of number 5 (SrLi2Ni)?
Answer: 50.3 kJ/mol of formula units



Question: V of number 4 (SrLi2Ni)?
Answer: 82.78 Å³/f.u.



Question: Number 3 is which compound?
Answer: Sr6LiNi2